Entry a
Material: LiP2WS
Method: DFT, PBE
State: relaxed

## Properties
The space group is P4/mmm (123). As for the mass density: 6.1 g/cm³.

Cell and atoms, written as POSCAR:
```
LiP2WS
1.0
4.1897 0.0000 0.0000
0.0000 4.1897 0.0000
0.0000 0.0000 4.3834
P S W Li
2 1 1 1
Cartesian
0.0000 2.0949 0.0000
2.0949 0.0000 0.0000
0.0000 0.0000 2.1917
2.0949 2.0949 2.1917
0.0000 0.0000 0.0000
```

---

Entry b
Material: LiP2WS
Method: DFT, PBE
State: relaxed

## Properties
The space group is P4/mmm (123). As for the mass density: 4.4 g/cm³.

Cell and atoms, written as POSCAR:
```
LiP2WS
1.0
4.7249 0.0000 0.0000
0.0000 4.7249 0.0000
0.0000 0.0000 4.7723
P S W Li
2 1 1 1
Cartesian
0.0000 2.3624 0.0000
2.3624 0.0000 0.0000
0.0000 0.0000 2.3861
0.0000 0.0000 0.0000
2.3624 2.3624 2.3861
```

---

What should be chosen as the least stable of them? Choose entry a.

---

Entry a
Material: LiSbP
Method: DFT, PBE
State: relaxed

## Properties
The space group is F-43m (216). As for the mass density: 3.8 g/cm³.

Cell and atoms, written as POSCAR:
```
LiSbP
1.0
4.6120 0.0000 0.0000
2.3060 3.9941 0.0000
2.3060 1.3314 3.7657
Li P Sb
1 1 1
Cartesian
4.6120 2.6628 1.8829
6.9180 3.9941 2.8243
0.0000 0.0000 0.0000
```

---

Entry b
Material: LiSbP
Method: DFT, PBE
State: relaxed

## Properties
The space group is P-1 (2). As for the mass density: 4.1 g/cm³.

Cell and atoms, written as POSCAR:
```
LiSbP
1.0
-2.2009 0.5984 4.0162
-2.3058 -4.4767 0.4940
3.8444 -3.5664 2.7777
P Li Sb
2 2 2
Cartesian
0.4929 -5.2465 3.4852
-1.1552 -2.1983 3.8027
-1.6243 -4.7783 4.9087
0.9621 -2.6665 2.3793
1.4989 -3.7982 5.4361
-2.1612 -3.6466 1.8519
```

---

Entry c
Material: LiSbP
Method: DFT, PBE
State: relaxed

## Properties
The space group is P-6m2 (187). As for the mass density: 4.3 g/cm³.

Cell and atoms, written as POSCAR:
```
LiSbP
1.0
-0.7052 -4.1898 2.4280
0.2785 -0.0204 -4.8856
2.9261 -0.3949 0.1685
Li P Sb
1 1 1
Cartesian
2.9250 -0.3947 0.1684
1.0887 -2.9978 0.0746
1.4119 -1.6074 -2.3636
```

---

What should be chosen as the least stable of them? Choose entry c.

---

Entry a
Material: LiSbP
Method: DFT, PBE
State: relaxed

## Properties
The space group is P6_3mc (186). As for the mass density: 4.1 g/cm³.

Cell and atoms, written as POSCAR:
```
LiSbP
1.0
0.8297 0.5519 -3.5955
-1.7492 -3.1228 1.0529
-9.4952 4.8299 -1.4497
Li Sb P
2 2 2
Cartesian
-0.4378 -0.4656 -2.1083
-6.0450 0.7244 -1.2837
-3.1273 0.9025 -2.5189
-8.7346 2.0925 -1.6943
-1.7172 0.8735 -0.2622
-6.4648 3.2885 -0.9870
```

---

Entry b
Material: LiSbP
Method: DFT, PBE
State: relaxed

## Properties
The space group is P6_3mc (186). As for the mass density: 4.3 g/cm³.

Cell and atoms, written as POSCAR:
```
LiSbP
1.0
0.1668 2.0236 4.5485
-1.4793 2.7362 -3.8905
-5.3918 -1.6133 0.9154
Li Sb P
2 2 2
Cartesian
-1.1565 -0.3460 0.1963
-3.8524 -1.1527 0.6541
-5.5213 0.7234 2.6080
-3.3741 1.7675 -0.6627
-2.6105 1.5943 2.1138
-5.8551 1.0252 -0.2415
```

---

Entry c
Material: LiSbP
Method: DFT, PBE
State: relaxed

## Properties
The space group is I4mm (107). As for the mass density: 4.1 g/cm³.

Cell and atoms, written as POSCAR:
```
LiSbP
1.0
-1.5950 -4.4221 2.7170
1.1755 -5.2823 0.4438
2.2077 -0.5508 2.8992
Li P Sb
1 1 1
Cartesian
2.1927 -0.6034 2.9007
1.4371 -3.2357 2.9759
0.3662 -6.9670 3.0825
```

---

What should be chosen as the least stable of them? Choose entry b.

---

Entry a
Material: LiSbP
Method: DFT, PBE
State: relaxed

## Properties
The space group is P3m1 (156). As for the mass density: 4.1 g/cm³.

Cell and atoms, written as POSCAR:
```
LiSbP
1.0
-2.1587 0.3595 -2.9677
-1.0271 -2.2057 2.7707
-2.5739 4.1876 2.3796
Li P Sb
1 1 1
Cartesian
-0.1118 0.1819 0.1034
-2.6415 0.9036 -0.2598
-3.0064 1.2559 2.3390
```

---

Entry b
Material: LiSbP
Method: DFT, PBE
State: relaxed

## Properties
The space group is Pnma (62). As for the mass density: 4.1 g/cm³.

Cell and atoms, written as POSCAR:
```
LiSbP
1.0
4.0503 0.0000 0.0000
0.0000 5.8856 0.0000
0.0000 0.0000 10.9797
Sb P Li
4 4 4
Cartesian
1.0126 1.2114 9.8117
3.0377 1.7314 4.3219
3.0377 4.6742 1.1680
1.0126 4.1542 6.6579
1.0126 3.6967 9.2030
3.0377 5.1317 3.7131
3.0377 2.1889 1.7767
1.0126 0.7539 7.2666
1.0126 3.5635 3.0607
3.0377 5.2649 8.5506
3.0377 2.3221 7.9190
1.0126 0.6207 2.4291
```

---

What should be chosen as the least stable of them? Choose entry a.

---

Entry a
Material: Li2Sb2P
Method: DFT, PBE
State: relaxed

## Properties
The space group is P4/mbm (127). As for the mass density: 4.2 g/cm³.

Cell and atoms, written as POSCAR:
```
Li2Sb2P
1.0
-5.6940 4.4473 0.5734
-3.0426 -4.5126 4.7862
1.9699 2.1048 3.2368
Sb Li P
4 4 2
Cartesian
-4.6606 -2.2797 4.3189
-6.8423 0.9306 3.5591
-4.0760 2.2145 1.0407
-1.8943 -0.9958 1.8005
-1.9570 -1.2145 4.8830
-5.3358 0.2205 6.0062
-4.8096 3.2541 3.7133
-1.4309 1.8191 2.5901
0.0000 0.0000 0.0000
-4.3683 -0.0326 2.6798
```

---

Entry b
Material: Li2Sb2P
Method: DFT, PBE
State: relaxed

## Properties
The space group is P4/nmm (129). As for the mass density: 4.0 g/cm³.

Cell and atoms, written as POSCAR:
```
Li2Sb2P
1.0
-1.8616 -1.0945 3.4666
-2.4067 -2.5479 -2.0969
9.6151 -10.5820 1.8223
Li Sb P
4 4 2
Cartesian
0.0000 0.0000 0.0000
-2.1342 -1.8212 0.6849
5.2977 -7.4021 2.9138
2.1832 -5.0011 -0.4066
4.8075 -5.2910 0.9111
2.6734 -7.1122 1.5960
7.1543 -9.4454 3.2656
0.3266 -2.9578 -0.7585
0.2932 -1.8943 1.9653
7.1877 -10.5088 0.5419
```

---

What should be chosen as the least stable of them? Choose entry a.

---

Entry a
Material: Li3SbP4
Method: DFT, PBE
State: relaxed

## Properties
The space group is P2/c (13). As for the mass density: 3.0 g/cm³.

Cell and atoms, written as POSCAR:
```
Li3SbP4
1.0
-1.8541 -0.4831 -5.3936
4.0210 -5.7543 -0.8668
-5.4153 -4.1788 2.2359
Sb Li P
2 6 8
Cartesian
1.4386 -4.7267 -5.2380
0.7282 -1.5108 -1.0225
2.3762 -4.4824 -2.5107
-0.2093 -1.7551 -3.7498
-1.7369 -3.5370 0.8009
-1.5115 -6.8793 -4.8255
-0.6236 -6.6479 -2.2426
-2.6248 -3.7683 -1.7820
1.2960 -7.1573 -3.9681
-3.2216 -6.3153 -2.4906
-4.5443 -3.2590 -0.0565
-0.0268 -4.1010 -1.5340
-1.2478 -9.1399 -2.9048
-0.6709 -4.3309 -3.5339
-2.0005 -1.2763 -1.1198
-2.5774 -6.0853 -0.4907
```

---

Entry b
Material: Li3SbP4
Method: DFT, PBE
State: relaxed

## Properties
The space group is P1 (1). As for the mass density: 2.8 g/cm³.

Cell and atoms, written as POSCAR:
```
Li3SbP4
1.0
6.0295 0.6435 0.2291
0.8773 7.3301 0.1579
0.0415 1.2461 7.2369
Sb Li P
2 6 8
Cartesian
6.0709 6.1096 1.4867
0.5596 3.2385 6.6331
2.7161 6.8057 0.7888
4.4072 1.9900 6.5440
0.6744 6.2511 5.6143
6.2601 3.4606 3.2453
4.0874 6.1555 3.5540
2.9514 2.5489 3.8590
5.4440 1.3404 1.7381
4.5516 4.1319 5.2599
1.0356 1.2363 5.0191
2.1715 4.7757 2.5083
3.5870 3.7591 1.1795
3.8136 7.5469 5.6939
3.1192 5.4947 6.2462
3.2603 1.5897 1.4634
```

---

What should be chosen as the least stable of them? Choose entry a.

---

Entry a
Material: LiTlSb2P
Method: DFT, PBE
State: relaxed

## Properties
The space group is P4/mmm (123). As for the mass density: 4.7 g/cm³.

Cell and atoms, written as POSCAR:
```
LiTlSb2P
1.0
5.7883 0.0000 0.0000
0.0000 5.1401 0.0000
0.0000 0.0000 5.7883
Sb Tl Li P
2 1 1 1
Cartesian
0.0000 0.0000 2.8942
2.8942 0.0000 0.0000
0.0000 0.0000 0.0000
2.8942 2.5700 2.8942
0.0000 2.5700 0.0000
```

---

Entry b
Material: LiTlSb2P
Method: DFT, PBE
State: relaxed

## Properties
The space group is P4/mmm (123). As for the mass density: 5.3 g/cm³.

Cell and atoms, written as POSCAR:
```
LiTlSb2P
1.0
-1.4525 -0.1427 -5.0316
-5.2825 -0.7149 1.5452
-0.6878 5.1934 0.0513
Sb Tl Li P
2 1 1 1
Cartesian
-0.3439 2.5967 0.0256
-0.7263 -0.0713 -2.5158
-2.6413 -0.3574 0.7726
-3.7114 2.1679 -1.7175
0.0000 0.0000 0.0000
```

---

What should be chosen as the least stable of them? Choose entry a.

---

Entry a
Material: Li2PSe
Method: DFT, PBE
State: relaxed

## Properties
The space group is C2/m (12). As for the mass density: 3.2 g/cm³.

Cell and atoms, written as POSCAR:
```
Li2PSe
1.0
-1.6758 -3.9792 1.0568
0.4139 -2.6459 3.5479
-3.6770 0.9518 2.5751
Li P Se
2 1 1
Cartesian
-1.3144 -6.5881 4.6289
-2.4170 -2.8737 3.5657
-1.2347 -1.4183 1.7949
-3.7042 -4.2550 5.3848
```

---

Entry b
Material: Li2PSe
Method: DFT, PBE
State: relaxed

## Properties
The space group is P4mm (99). As for the mass density: 3.1 g/cm³.

Cell and atoms, written as POSCAR:
```
Li2PSe
1.0
-0.7290 -2.8815 -1.9940
2.8757 -1.6558 1.3414
-2.8843 -1.9142 3.8208
Li P Se
2 1 1
Cartesian
-2.7668 -1.8362 3.6651
0.2382 -2.8229 0.7800
-1.3640 -0.9052 1.8068
-1.1716 -3.7585 2.6474
```

---

What should be chosen as the least stable of them? Choose entry b.

---

Entry a
Material: Li3PSe
Method: DFT, PBE
State: relaxed

## Properties
The space group is Pm-3m (221). As for the mass density: 2.0 g/cm³.

Cell and atoms, written as POSCAR:
```
Li3PSe
1.0
4.7702 0.0000 0.0000
0.0000 4.7702 0.0000
0.0000 0.0000 4.7702
P Se Li
1 1 3
Cartesian
2.3851 2.3851 2.3851
0.0000 0.0000 0.0000
0.0000 2.3851 0.0000
0.0000 0.0000 2.3851
2.3851 0.0000 0.0000
```

---

Entry b
Material: Li3PSe
Method: DFT, PBE
State: relaxed

## Properties
The space group is Pm-3m (221). As for the mass density: 2.2 g/cm³.

Cell and atoms, written as POSCAR:
```
Li3PSe
1.0
-0.3375 1.0644 4.4804
-4.5813 0.3790 -0.4351
-0.4680 -4.4771 1.0284
P Se Li
1 1 3
Cartesian
0.0000 0.0000 0.0000
-2.6934 -1.5169 2.5368
-2.2906 0.1895 -0.2176
-0.2340 -2.2386 0.5142
-0.1687 0.5322 2.2402
```

---

What should be chosen as the least stable of them? Choose entry b.

---

Entry a
Material: Li2SiP
Method: DFT, PBE
State: relaxed

## Properties
The space group is Pmm2 (25). As for the mass density: 2.2 g/cm³.

Cell and atoms, written as POSCAR:
```
Li2SiP
1.0
4.4562 0.0000 0.0000
0.0000 2.7789 -0.0004
0.0000 0.0037 4.5293
Li P Si
2 1 1
Cartesian
0.0000 0.3492 4.4537
2.2281 0.3481 1.1909
0.0000 1.7397 2.2649
2.2281 1.7405 3.4131
```

---

Entry b
Material: Li2SiP
Method: DFT, PBE
State: relaxed

## Properties
The space group is P4/mmm (123). As for the mass density: 2.2 g/cm³.

Cell and atoms, written as POSCAR:
```
Li2SiP
1.0
3.6719 0.0000 0.0000
0.0000 3.6719 0.0000
0.0000 0.0000 4.0151
Li P Si
2 1 1
Cartesian
0.0000 0.0000 0.0000
1.8359 1.8359 0.0000
1.8359 0.0000 2.0076
0.0000 1.8359 2.0076
```

---

Entry c
Material: Li2SiP
Method: DFT, PBE
State: relaxed

## Properties
The space group is P2/m (10). As for the mass density: 2.2 g/cm³.

Cell and atoms, written as POSCAR:
```
Li2SiP
1.0
-2.3900 -1.1397 -3.0350
1.7305 -1.7691 -0.6985
-0.5634 -5.3158 2.4398
Li P Si
2 1 1
Cartesian
1.7207 -1.7755 -0.6883
0.5934 -3.5360 0.8605
-0.9032 -2.3411 -1.0822
-0.3196 -5.8835 -0.2115
```

---

Entry d
Material: Li2SiP
Method: DFT, PBE
State: relaxed

## Properties
The space group is F-43m (216). As for the mass density: 1.9 g/cm³.

Cell and atoms, written as POSCAR:
```
Li2SiP
1.0
4.4485 0.0000 0.0000
2.2242 3.8525 0.0000
2.2242 1.2842 3.6322
Li P Si
2 1 1
Cartesian
0.0000 0.0000 0.0000
6.6727 3.8525 2.7241
4.4485 2.5683 1.8161
2.2242 1.2842 0.9080
```

---

What should be chosen as the least stable of them? Choose entry d.

---

Entry a
Material: LiSiP3
Method: DFT, PBE
State: relaxed

## Properties
The space group is Pm-3m (221). As for the mass density: 2.6 g/cm³.

Cell and atoms, written as POSCAR:
```
LiSiP3
1.0
-0.4853 0.9823 4.1912
-1.1268 -4.0997 0.8304
4.1547 -0.9971 0.7148
P Si Li
3 1 1
Cartesian
-0.5634 -2.0498 0.4152
2.0773 -0.4986 0.3574
-0.2426 0.4911 2.0956
1.2713 -2.0573 2.8682
0.0000 0.0000 0.0000
```

---

Entry b
Material: LiSiP3
Method: DFT, PBE
State: relaxed

## Properties
The space group is Pm-3m (221). As for the mass density: 2.2 g/cm³.

Cell and atoms, written as POSCAR:
```
LiSiP3
1.0
4.5720 0.0000 0.0000
0.0000 4.5720 0.0000
0.0000 0.0000 4.5720
P Si Li
3 1 1
Cartesian
0.0000 2.2860 0.0000
0.0000 0.0000 2.2860
2.2860 0.0000 0.0000
0.0000 0.0000 0.0000
2.2860 2.2860 2.2860
```

---

What should be chosen as the least stable of them? Choose entry a.